No. 1
K4TlCd2 PBE-GGA relaxed; N(E_F) = 0.67 states/eV/atom; symmetry = I4/mmm (139); energy relative to the elements = 104 meV per atom
1.0
6.779 0.000 0.000
0.000 6.779 0.000
-3.390 -3.390 8.539
Cd K Tl
2 4 1
direct
0.413 0.413 0.825
0.587 0.587 0.175
0.000 0.500 0.000
0.793 0.793 0.587
0.207 0.207 0.413
0.500 0.000 0.000
0.000 0.000 0.000


No. 2
K5Tl12Cd2 PBE-GGA relaxed; N(E_F) = 0.51 states/eV/atom; symmetry = C2/m (12); energy relative to the elements = -57 meV per atom
1.0
8.771 0.152 0.319
-0.294 8.030 4.230
-0.494 0.112 9.499
Tl K Cd
12 5 2
direct
0.874 0.928 0.144
0.785 0.299 0.759
0.659 0.560 0.881
0.215 0.058 0.241
0.307 0.802 0.783
0.341 0.440 0.119
0.785 0.942 0.759
0.307 0.415 0.783
0.215 0.701 0.241
0.693 0.585 0.217
0.126 0.072 0.856
0.693 0.198 0.217
0.535 0.763 0.475
0.465 0.237 0.525
0.992 0.715 0.570
0.500 0.000 0.000
0.008 0.285 0.430
0.000 0.661 0.000
0.000 0.339 0.000


No. 3
K2TlCd2 PBE-GGA relaxed; N(E_F) = 0.90 states/eV/atom; symmetry = P4/mbm (127); energy relative to the elements = -34 meV per atom
1.0
8.131 0.000 0.000
0.000 8.131 0.000
0.000 0.000 5.600
Tl Cd K
2 4 4
direct
0.000 0.000 0.000
0.500 0.500 0.000
0.630 0.130 0.000
0.870 0.630 0.000
0.370 0.870 0.000
0.130 0.370 0.000
0.822 0.322 0.500
0.678 0.822 0.500
0.178 0.678 0.500
0.322 0.178 0.500


No. 4
KTl15Cd4 PBE-GGA relaxed; N(E_F) = 0.48 states/eV/atom; symmetry = P4/mmm (123); energy relative to the elements = 28 meV per atom
1.0
-3.510 -1.873 -2.912
3.423 -1.255 -3.318
2.568 -21.698 10.858
Tl Cd K
15 4 1
direct
0.500 0.500 0.598
0.500 0.500 0.402
0.500 0.000 0.699
0.000 0.500 0.500
0.500 0.000 0.108
0.500 0.500 0.000
0.000 0.500 0.892
0.500 0.500 0.204
0.000 0.500 0.108
0.500 0.000 0.301
0.500 0.000 0.892
0.000 0.500 0.301
0.500 0.500 0.796
0.000 0.500 0.699
0.500 0.000 0.500
0.000 0.000 0.401
0.000 0.000 0.599
0.000 0.000 0.800
0.000 0.000 0.200
0.000 0.000 0.000


No. 5
K3Tl2Cd7 PBE-GGA relaxed; N(E_F) = 0.44 states/eV/atom; symmetry = R-3m (166); energy relative to the elements = -76 meV per atom
1.0
6.095 0.000 1.908
2.749 5.440 1.908
-0.090 -0.055 10.977
Tl Cd K
2 7 3
direct
0.336 0.336 0.993
0.664 0.664 0.007
0.590 0.590 0.741
0.590 0.079 0.741
0.079 0.590 0.741
0.410 0.921 0.259
0.921 0.410 0.259
0.500 0.500 0.500
0.410 0.410 0.259
0.000 0.000 0.000
0.857 0.857 0.429
0.143 0.143 0.571


No. 6
K8Tl2Cd PBE-GGA relaxed; N(E_F) = 0.83 states/eV/atom; symmetry = Immm (71); energy relative to the elements = 2 meV per atom
1.0
5.853 0.000 -1.781
-1.500 8.675 -4.927
0.075 0.254 10.754
K Tl Cd
8 2 1
direct
0.342 0.123 0.685
0.150 0.150 0.300
0.658 0.438 0.315
0.342 0.562 0.685
0.000 0.310 0.000
0.000 0.690 0.000
0.850 0.850 0.700
0.658 0.877 0.315
0.805 0.305 0.609
0.195 0.695 0.391
0.500 0.000 0.000


No. 7
K2Tl3Cd2 PBE-GGA relaxed; N(E_F) = 0.44 states/eV/atom; symmetry = C2/m (12); energy relative to the elements = -64 meV per atom
1.0
5.445 0.000 0.000
-2.723 5.993 -1.685
0.000 -0.913 7.632
Cd Tl K
2 3 2
direct
0.906 0.812 0.317
0.094 0.188 0.683
0.716 0.431 0.862
0.284 0.569 0.138
0.000 0.000 0.000
0.380 0.760 0.661
0.620 0.240 0.339


No. 8
K3Tl3Cd PBE-GGA relaxed; N(E_F) = 0.52 states/eV/atom; symmetry = C2/m (12); energy relative to the elements = -77 meV per atom
1.0
-1.315 4.324 2.862
0.451 -1.053 6.799
15.162 6.982 1.416
Tl K Cd
6 6 2
direct
0.904 0.114 0.079
0.096 0.886 0.921
0.861 0.738 0.540
0.060 0.120 0.760
0.139 0.262 0.460
0.940 0.880 0.240
0.762 0.710 0.767
0.529 0.325 0.617
0.389 0.298 0.923
0.238 0.290 0.233
0.611 0.702 0.077
0.471 0.675 0.383
0.756 0.086 0.403
0.244 0.914 0.597